Record 1
Entry from Alexandria via LeMat-Bulk: a relaxed Pu3Re2Si9 crystal (GGA-PBE).

Unit cell a=7.767 b=7.767 c=7.767 alpha=149.10 beta=102.75 gamma=85.48
Sites, in units of the cell vectors:
Pu (0.000, 0.000, 0.000)
Pu (0.316, 0.316, 0.000)
Pu (0.684, 0.684, 0.000)
Re (0.287, 0.500, 0.787)
Re (0.713, 0.500, 0.213)
Si (0.037, 0.664, 0.373)
Si (0.148, 0.871, 0.278)
Si (0.292, 0.664, 0.627)
Si (0.407, 0.129, 0.278)
Si (0.500, 0.000, 0.500)
Si (0.593, 0.871, 0.722)
Si (0.708, 0.336, 0.373)
Si (0.852, 0.129, 0.722)
Si (0.963, 0.336, 0.627)

Computed properties:
VASP energy (eV/atom): -8.6547
Formation energy from raw total energies (eV/atom): -0.32
Total moment (μB per formula unit): 4.37

Record 2
Entry from Alexandria via LeMat-Bulk: a relaxed Tb2ZnGa2Pd5 crystal (GGA-PBE).

Unit cell a=10.030 b=10.030 c=3.570 alpha=90.00 beta=90.00 gamma=90.00
Sites, in units of the cell vectors:
Tb (0.175, 0.325, 0.000)
Tb (0.325, 0.825, 0.000)
Tb (0.675, 0.175, 0.000)
Tb (0.825, 0.675, 0.000)
Zn (0.000, 0.000, 0.000)
Zn (0.500, 0.500, 0.000)
Ga (0.125, 0.625, 0.000)
Ga (0.375, 0.125, 0.000)
Ga (0.625, 0.875, 0.000)
Ga (0.875, 0.375, 0.000)
Pd (0.000, 0.500, 0.500)
Pd (0.056, 0.799, 0.500)
Pd (0.201, 0.056, 0.500)
Pd (0.299, 0.556, 0.500)
Pd (0.444, 0.299, 0.500)
Pd (0.500, 0.000, 0.500)
Pd (0.556, 0.701, 0.500)
Pd (0.701, 0.444, 0.500)
Pd (0.799, 0.944, 0.500)
Pd (0.944, 0.201, 0.500)

Computed properties:
VASP energy (eV/atom): -4.9521
E_form (eV/f.u.): -6.97
Total moment (μB per formula unit): 0.00

Record 3
Entry from Alexandria via LeMat-Bulk: a relaxed Ac2Br3N crystal (GGA-PBE).

Unit cell a=9.286 b=9.286 c=11.911 alpha=119.19 beta=119.19 gamma=26.95
Sites, in units of the cell vectors:
Ac (0.086, 0.086, 0.454)
Ac (0.365, 0.365, 0.212)
Ac (0.635, 0.635, 0.788)
Ac (0.914, 0.914, 0.546)
Br (0.163, 0.163, 0.010)
Br (0.272, 0.272, 0.381)
Br (0.451, 0.451, 0.759)
Br (0.549, 0.549, 0.241)
Br (0.728, 0.728, 0.619)
Br (0.837, 0.837, 0.990)
N (0.072, 0.072, 0.651)
N (0.928, 0.928, 0.349)

Computed properties:
VASP energy (eV/atom): -5.4483
Formation energy from raw total energies (eV/atom): -1.85
Total moment (μB per formula unit): 0.00

Record 4
Entry from Alexandria via LeMat-Bulk: a relaxed HoHfOsRu crystal (GGA-PBE).

Unit cell a=6.622 b=6.622 c=6.622 alpha=90.00 beta=90.00 gamma=90.00
Sites, in units of the cell vectors:
Ho (0.000, 0.000, 0.000)
Ho (0.000, 0.500, 0.500)
Ho (0.500, 0.000, 0.500)
Ho (0.500, 0.500, 0.000)
Hf (0.000, 0.000, 0.500)
Hf (0.000, 0.500, 0.000)
Hf (0.500, 0.000, 0.000)
Hf (0.500, 0.500, 0.500)
Os (0.250, 0.250, 0.250)
Os (0.250, 0.750, 0.750)
Os (0.750, 0.250, 0.750)
Os (0.750, 0.750, 0.250)
Ru (0.250, 0.250, 0.750)
Ru (0.250, 0.750, 0.250)
Ru (0.750, 0.250, 0.250)
Ru (0.750, 0.750, 0.750)

Computed properties:
VASP energy (eV/atom): -9.2416
E_form (eV/f.u.): -1.93
Total moment (μB per formula unit): 0.00

Record 5
Entry from Alexandria via LeMat-Bulk: a relaxed LaDyZnIn crystal (GGA-PBE).

Unit cell a=7.574 b=7.574 c=7.574 alpha=90.00 beta=90.00 gamma=90.00
Sites, in units of the cell vectors:
La (0.000, 0.000, 0.000)
La (0.000, 0.500, 0.500)
La (0.500, 0.000, 0.500)
La (0.500, 0.500, 0.000)
Dy (0.000, 0.000, 0.500)
Dy (0.000, 0.500, 0.000)
Dy (0.500, 0.000, 0.000)
Dy (0.500, 0.500, 0.500)
Zn (0.250, 0.250, 0.750)
Zn (0.250, 0.750, 0.250)
Zn (0.750, 0.250, 0.250)
Zn (0.750, 0.750, 0.750)
In (0.250, 0.250, 0.250)
In (0.250, 0.750, 0.750)
In (0.750, 0.250, 0.750)
In (0.750, 0.750, 0.250)

Computed properties:
VASP energy (eV/atom): -3.7733
E_form (eV/f.u.): -1.55
Total moment (μB per formula unit): 0.00

Record 6
Entry from Alexandria via LeMat-Bulk: a relaxed LaNdHo2Tm2 crystal (GGA-PBE).

Unit cell a=6.981 b=16.004 c=3.570 alpha=90.00 beta=90.00 gamma=90.00
Sites, in units of the cell vectors:
La (0.000, 0.000, 0.000)
La (0.500, 0.500, 0.500)
Nd (0.000, 0.500, 0.500)
Nd (0.500, 0.000, 0.000)
Ho (0.250, 0.159, 0.500)
Ho (0.250, 0.659, 0.000)
Ho (0.750, 0.341, 0.000)
Ho (0.750, 0.841, 0.500)
Tm (0.249, 0.342, 0.000)
Tm (0.251, 0.842, 0.500)
Tm (0.749, 0.158, 0.500)
Tm (0.751, 0.658, 0.000)

Computed properties:
VASP energy (eV/atom): -4.4493
E_form (eV/f.u.): 1.10
Total moment (μB per formula unit): 0.00

Record 7
Entry from Alexandria via LeMat-Bulk: a relaxed ReOs2Pd crystal (GGA-PBE).

Unit cell a=6.017 b=6.017 c=9.461 alpha=90.00 beta=90.00 gamma=90.00
Sites, in units of the cell vectors:
Re (0.000, 0.000, 0.000)
Re (0.000, 0.500, 0.250)
Re (0.500, 0.000, 0.750)
Re (0.500, 0.500, 0.500)
Os (0.240, 0.250, 0.125)
Os (0.250, 0.740, 0.375)
Os (0.250, 0.760, 0.875)
Os (0.260, 0.250, 0.625)
Os (0.740, 0.750, 0.625)
Os (0.750, 0.240, 0.875)
Os (0.750, 0.260, 0.375)
Os (0.760, 0.750, 0.125)
Pd (0.000, 0.000, 0.500)
Pd (0.000, 0.500, 0.750)
Pd (0.500, 0.000, 0.250)
Pd (0.500, 0.500, 0.000)

Computed properties:
VASP energy (eV/atom): -8.6152
E_form (eV/f.u.): 5.64
Total moment (μB per formula unit): 0.00

Record 8
Entry from Alexandria via LeMat-Bulk: a relaxed Np3TiNb2P6 crystal (GGA-PBE).

Unit cell a=6.482 b=6.482 c=6.463 alpha=99.62 beta=99.62 gamma=119.98
Sites, in units of the cell vectors:
Np (0.000, 0.000, 0.000)
Np (0.331, 0.669, 0.000)
Np (0.669, 0.331, 0.000)
Ti (0.500, 0.500, 0.500)
Nb (0.166, 0.834, 0.500)
Nb (0.834, 0.166, 0.500)
P (0.096, 0.425, 0.274)
P (0.248, 0.248, 0.729)
P (0.425, 0.096, 0.274)
P (0.575, 0.904, 0.726)
P (0.752, 0.752, 0.271)
P (0.904, 0.575, 0.726)

Computed properties:
VASP energy (eV/atom): -9.1938
E_form (eV/f.u.): -11.01
Total moment (μB per formula unit): 10.36